DFT (PBE) results for crystalline KH3Au at its relaxed geometry.

As for the offset from the most stable computed form: 286 meV/atom. The value obtained for the electronic total energy is -0.10195 hartree per atom.

Cell lengths 3.4451, 17.7642, 5.0133 Å; angles 90.00, 90.00, 90.00 degrees
Closest atoms and distances in Å follow each position.
Space group Cmcm (No. 63)
Unique sites:
K  0.0000  0.1286  0.2500  2 H 2.61
H  0.0000  0.0000  0.0000  4 Au 2.21
H  0.1123  0.2230  0.7500  1 H 0.77
Au  0.0000  0.4678  0.2500  4 H 2.21